No. 1
VASP calculation (PBE) on Zr2AsIr after structural relaxation.

Cell: 5.8709 7.3771 3.4058 Å, 90.00 90.31 90.00°
Element x y z (fractional)
Zr  0.2500  0.2500  0.0000
Zr  0.2500  0.7500  0.0000
Zr  0.7500  0.2500  0.0000
Zr  0.7500  0.7500  0.0000
As  0.0000  0.0000  0.5000
As  0.5000  0.5000  0.5000
Ir  0.0000  0.5000  0.5000
Ir  0.5000  0.0000  0.5000

Summary:
- DFT formation energy: -729 meV per atom
- Electronic total energy: -8.38 eV/atom
- Density of states at the Fermi level: 2.749 states/eV/f.u.

No. 2
VASP calculation (PBE) on ZrAsIr2 after structural relaxation.

Cell: 3.9385 3.9385 8.5322 Å, 90.00 90.00 90.00°
Element x y z (fractional)
Zr  0.0000  0.0000  0.0000
Zr  0.5000  0.5000  0.5000
As  0.0000  0.5000  0.7500
As  0.5000  0.0000  0.2500
Ir  0.0000  0.0000  0.5000
Ir  0.0000  0.5000  0.2500
Ir  0.5000  0.0000  0.7500
Ir  0.5000  0.5000  0.0000

Summary:
- DFT formation energy: -385 meV per atom
- Electronic total energy: -8.11 eV/atom
- Density of states at the Fermi level: 2.452 states/eV/f.u.

No. 3
VASP calculation (PBE) on ZrAsIr2 after structural relaxation.

Cell: 5.5654 9.5708 2.8820 Å, 90.00 120.07 90.00°
Element x y z (fractional)
Zr  0.0000  0.0000  0.0000
Zr  0.5000  0.5000  0.0000
As  0.0000  0.5000  0.0000
As  0.5000  0.0000  0.0000
Ir  0.2500  0.2500  0.5000
Ir  0.2500  0.7500  0.5000
Ir  0.7500  0.2500  0.5000
Ir  0.7500  0.7500  0.5000

Summary:
- DFT formation energy: -255 meV per atom
- Electronic total energy: -7.99 eV/atom
- Density of states at the Fermi level: 3.797 states/eV/f.u.